V2CoGe2 | Alexandria | PBE | optimized geometry; E_form = -0.147 eV/atom; SG = No. 127
1.0
-5.4017 -2.4336 -1.0908
1.7953 -1.4961 -5.5524
1.2527 -3.3689 1.3128
Ge Co V
4 2 4
direct
0.3535 0.8535 0.0000
0.8535 0.6465 0.0000
0.6465 0.1465 0.0000
0.1465 0.3535 0.0000
0.0000 0.0000 0.0000
0.5000 0.5000 0.0000
0.1595 0.6595 0.5000
0.6595 0.8405 0.5000
0.8405 0.3405 0.5000
0.3405 0.1595 0.5000